Entry 1:
Computed, not measured: a relaxed Mg2SbBr crystal at the PBE-GGA level of DFT.

Calculated values
Symmetry = Immm, No. 71
Volume = 25.3 A^3/atom
Energy above the most stable polymorph in this dataset = 0.2519 eV/atom
Energy relative to the elements, uncorrected = -0.382 eV per atom

a b c (Å): 5.301 5.301 5.301
angles (deg): 129.73 110.78 90.35
Element x y z (fractional)
Br 0.250 0.750 0.500
Mg 0.007 0.007 0.000
Mg 0.493 0.493 0.000
Sb 0.750 0.250 0.500

Entry 2:
Computed, not measured: a relaxed TcHOsRh2 crystal at the PBE-GGA level of DFT.

Calculated values
Symmetry = P4/mmm, No. 123
Volume = 11.9 A^3/atom
Energy above the most stable polymorph in this dataset = 0.0270 eV/atom

a b c (Å): 3.858 3.858 3.989
angles (deg): 90.00 90.00 90.00
Element x y z (fractional)
Rh 0.000 0.500 0.000
Rh 0.500 0.000 0.000
Os 0.000 0.000 0.500
Tc 0.500 0.500 0.500
H 0.000 0.000 0.000

Entry 3:
Computed, not measured: a relaxed OsPbAu2 crystal at the PBE-GGA level of DFT.

Calculated values
Final energy = -4.7568 eV/atom
Symmetry = Pmmm, No. 47
Volume = 20.0 A^3/atom

a b c (Å): 2.844 3.928 7.173
angles (deg): 90.00 90.00 90.00
Element x y z (fractional)
Au 0.000 0.000 0.046
Au 0.000 0.000 0.454
Os 0.500 0.500 0.250
Pb 0.500 0.500 0.750

- Which value of volume does entry 3 give?
  20.0 A^3/atom

Repeat the second record exactly.
Computed, not measured: a relaxed TcHOsRh2 crystal at the PBE-GGA level of DFT.

Calculated values
Symmetry = P4/mmm, No. 123
Volume = 11.9 A^3/atom
Energy above the most stable polymorph in this dataset = 0.0270 eV/atom

a b c (Å): 3.858 3.858 3.989
angles (deg): 90.00 90.00 90.00
Element x y z (fractional)
Rh 0.000 0.500 0.000
Rh 0.500 0.000 0.000
Os 0.000 0.000 0.500
Tc 0.500 0.500 0.500
H 0.000 0.000 0.000

- Among the records above, which one has the highest volume?
  Mg2SbBr

- What is the volume in the second record?
  11.9 A^3/atom